Entry 1:
# PBE-GGA Os3RhN, optimized geometry
data_Os3RhN
_chemical_formula_sum 'Os3 Rh1 N1'
_symmetry_space_group_name_H-M 'P m -3 m'
_symmetry_Int_Tables_number 221
_symmetry_space_group_name_Hall '-P 4 2 3'
_cell_length_a 4.705
_cell_length_b 4.705
_cell_length_c 4.705
_cell_angle_alpha 90.00
_cell_angle_beta 90.00
_cell_angle_gamma 90.00
loop_
_atom_site_label
_atom_site_type_symbol
_atom_site_fract_x
_atom_site_fract_y
_atom_site_fract_z
_atom_site_occupancy
Os1 Os 0.000 0.000 0.500 1
Rh1 Rh 0.000 0.000 0.000 1
N1 N 0.500 0.500 0.500 1
# **Polymorph energy (0 for the lowest one)**: 3064 meV per atom

***

Entry 2:
# PBE-GGA OsRhSN2, optimized geometry
data_OsRhSN2
_chemical_formula_sum 'Os1 Rh1 S1 N2'
_symmetry_space_group_name_H-M 'P 4/m m m'
_symmetry_Int_Tables_number 123
_symmetry_space_group_name_Hall '-P 4 2'
_cell_length_a 3.725
_cell_length_b 3.725
_cell_length_c 5.252
_cell_angle_alpha 90.00
_cell_angle_beta 90.00
_cell_angle_gamma 90.00
loop_
_atom_site_label
_atom_site_type_symbol
_atom_site_fract_x
_atom_site_fract_y
_atom_site_fract_z
_atom_site_occupancy
Os1 Os 0.000 0.000 0.000 1
Rh1 Rh 0.500 0.500 0.500 1
S1 S 0.000 0.000 0.500 1
N1 N 0.000 0.500 0.000 1
# **Polymorph energy (0 for the lowest one)**: 0 meV per atom

***

Entry 3:
# PBE-GGA OsRhSN2, optimized geometry
data_OsRhSN2
_chemical_formula_sum 'Os1 Rh1 S1 N2'
_symmetry_space_group_name_H-M 'P 4/m m m'
_symmetry_Int_Tables_number 123
_symmetry_space_group_name_Hall '-P 4 2'
_cell_length_a 3.631
_cell_length_b 3.631
_cell_length_c 7.006
_cell_angle_alpha 90.00
_cell_angle_beta 90.00
_cell_angle_gamma 90.00
loop_
_atom_site_label
_atom_site_type_symbol
_atom_site_fract_x
_atom_site_fract_y
_atom_site_fract_z
_atom_site_occupancy
Os1 Os 0.000 0.000 0.000 1
Rh1 Rh 0.500 0.500 0.500 1
S1 S 0.500 0.500 0.000 1
N1 N 0.000 0.500 0.500 1
# **Polymorph energy (0 for the lowest one)**: 857 meV per atom

***

Entry 4:
An optimized crystal structure of SrOsRh2N, computed with PBE-GGA.

CIF file:
```
data_SrOsRh2N
_chemical_formula_sum 'Sr1 Os1 Rh2 N1'
_symmetry_space_group_name_H-M 'P 4/m m m'
_symmetry_Int_Tables_number 123
_symmetry_space_group_name_Hall '-P 4 2'
_cell_length_a 4.084
_cell_length_b 4.084
_cell_length_c 4.838
_cell_angle_alpha 90.00
_cell_angle_beta 90.00
_cell_angle_gamma 90.00
loop_
_atom_site_label
_atom_site_type_symbol
_atom_site_fract_x
_atom_site_fract_y
_atom_site_fract_z
_atom_site_occupancy
Sr1 Sr 0.000 0.000 0.000 1
Os1 Os 0.500 0.500 0.000 1
Rh1 Rh 0.000 0.500 0.500 1
N1 N 0.000 0.000 0.500 1
```

***

Entry 5:
# PBE-GGA Tc2OsRhN, optimized geometry
data_Tc2OsRhN
_chemical_formula_sum 'Tc2 Os1 Rh1 N1'
_symmetry_space_group_name_H-M 'P 4/m m m'
_symmetry_Int_Tables_number 123
_symmetry_space_group_name_Hall '-P 4 2'
_cell_length_a 4.912
_cell_length_b 4.912
_cell_length_c 3.485
_cell_angle_alpha 90.00
_cell_angle_beta 90.00
_cell_angle_gamma 90.00
loop_
_atom_site_label
_atom_site_type_symbol
_atom_site_fract_x
_atom_site_fract_y
_atom_site_fract_z
_atom_site_occupancy
Tc1 Tc 0.000 0.500 0.000 1
Os1 Os 0.000 0.000 0.500 1
Rh1 Rh 0.500 0.500 0.000 1
N1 N 0.500 0.500 0.500 1
# **Polymorph energy (0 for the lowest one)**: 1796 meV per atom

***

Entry 6:
# PBE-GGA Tc2OsRhN, optimized geometry
data_Tc2OsRhN
_chemical_formula_sum 'Tc2 Os1 Rh1 N1'
_symmetry_space_group_name_H-M 'P 4/m m m'
_symmetry_Int_Tables_number 123
_symmetry_space_group_name_Hall '-P 4 2'
_cell_length_a 4.031
_cell_length_b 4.031
_cell_length_c 4.015
_cell_angle_alpha 90.00
_cell_angle_beta 90.00
_cell_angle_gamma 90.00
loop_
_atom_site_label
_atom_site_type_symbol
_atom_site_fract_x
_atom_site_fract_y
_atom_site_fract_z
_atom_site_occupancy
Tc1 Tc 0.000 0.500 0.000 1
Os1 Os 0.000 0.000 0.500 1
Rh1 Rh 0.500 0.500 0.500 1
N1 N 0.000 0.000 0.000 1
# **Polymorph energy (0 for the lowest one)**: 0 meV per atom

***

Entry 7:
# PBE-GGA Te2OsRhN, optimized geometry
data_Te2OsRhN
_chemical_formula_sum 'Te2 Os1 Rh1 N1'
_symmetry_space_group_name_H-M 'P 4/m m m'
_symmetry_Int_Tables_number 123
_symmetry_space_group_name_Hall '-P 4 2'
_cell_length_a 5.328
_cell_length_b 5.328
_cell_length_c 3.622
_cell_angle_alpha 90.00
_cell_angle_beta 90.00
_cell_angle_gamma 90.00
loop_
_atom_site_label
_atom_site_type_symbol
_atom_site_fract_x
_atom_site_fract_y
_atom_site_fract_z
_atom_site_occupancy
Te1 Te 0.000 0.500 0.000 1
Os1 Os 0.000 0.000 0.000 1
Rh1 Rh 0.500 0.500 0.500 1
N1 N 0.000 0.000 0.500 1
# **Polymorph energy (0 for the lowest one)**: 0 meV per atom

***

Entry 8:
# PBE-GGA Te2OsRhN, optimized geometry
data_Te2OsRhN
_chemical_formula_sum 'Te2 Os1 Rh1 N1'
_symmetry_space_group_name_H-M 'P 4/m m m'
_symmetry_Int_Tables_number 123
_symmetry_space_group_name_Hall '-P 4 2'
_cell_length_a 5.281
_cell_length_b 5.281
_cell_length_c 3.570
_cell_angle_alpha 90.00
_cell_angle_beta 90.00
_cell_angle_gamma 90.00
loop_
_atom_site_label
_atom_site_type_symbol
_atom_site_fract_x
_atom_site_fract_y
_atom_site_fract_z
_atom_site_occupancy
Te1 Te 0.000 0.500 0.000 1
Os1 Os 0.000 0.000 0.500 1
Rh1 Rh 0.500 0.500 0.000 1
N1 N 0.500 0.500 0.500 1
# **Polymorph energy (0 for the lowest one)**: 487 meV per atom

***

no.,raw total energy (eV per cell)
1,-30.91
2,-34.89
3,-30.61
4,-32.42
5,-37.77
6,-46.75
7,-30.29
8,-27.86